1.
The following is a DFT calculation (GGA-PBE) of a relaxed Ac2Pm4NdEr crystal.

total magnetization: 0.02 μB/cell
crystal system: monoclinic
calculated formation energy: 0.389 eV/atom

```
data_Ac2Pm4NdEr
_chemical_formula_sum 'Ac8 Pm16 Nd4 Er4'
_cell_length_a 14.119
_cell_length_b 13.746
_cell_length_c 7.166
_cell_angle_alpha 90.00
_cell_angle_beta 120.47
_cell_angle_gamma 90.00
_space_group_name_H-M_alt 'C 1 2/c 1'
_space_group_IT_number 15
loop_
_space_group_symop_operation_xyz
'x,y,z'
'-x,-y,-z'
'-x,y,-z+1/2'
'x,-y,z+1/2'
'x+1/2,y+1/2,z'
'-x+1/2,-y+1/2,-z'
'-x+1/2,y+1/2,-z+1/2'
'x+1/2,-y+1/2,z+1/2'
loop_
_atom_site_label
_atom_site_type_symbol
_atom_site_fract_x
_atom_site_fract_y
_atom_site_fract_z
Ac1 Ac 0.000 0.000 0.000
Ac2 Ac 0.250 0.250 0.000
Pm1 Pm 0.000 0.264 0.015
Pm2 Pm 0.234 0.491 0.482
Nd1 Nd 0.250 0.250 0.500
Er1 Er 0.000 0.500 0.000
```



2.
The following is a DFT calculation (GGA-PBE) of a relaxed CeHo2PuBi4 crystal.

total magnetization: 5.98 μB/cell
crystal system: monoclinic
calculated formation energy: -0.701 eV/atom

```
data_CeHo2PuBi4
_chemical_formula_sum 'Ce1 Ho2 Pu1 Bi4'
_cell_length_a 7.820
_cell_length_b 4.520
_cell_length_c 7.825
_cell_angle_alpha 90.00
_cell_angle_beta 109.49
_cell_angle_gamma 90.00
_space_group_name_H-M_alt 'P 1 2/m 1'
_space_group_IT_number 10
loop_
_space_group_symop_operation_xyz
'x,y,z'
'-x,-y,-z'
'-x,y,-z'
'x,-y,z'
loop_
_atom_site_label
_atom_site_type_symbol
_atom_site_fract_x
_atom_site_fract_y
_atom_site_fract_z
Ce1 Ce 0.000 0.000 0.000
Ho1 Ho 0.000 0.500 0.500
Ho2 Ho 0.500 0.000 0.500
Pu1 Pu 0.500 0.500 0.000
Bi1 Bi 0.249 0.000 0.745
Bi2 Bi 0.252 0.500 0.256
```



3.
The following is a DFT calculation (GGA-PBE) of a relaxed CsCdFe2Br8 crystal.

total magnetization: 18.00 μB/cell
raw formation energy: -0.789 eV per atom
crystal system: monoclinic

```
data_CsCdFe2Br8
_chemical_formula_sum 'Cs2 Cd2 Fe4 Br16'
_cell_length_a 11.222
_cell_length_b 7.714
_cell_length_c 10.477
_cell_angle_alpha 90.00
_cell_angle_beta 99.39
_cell_angle_gamma 90.00
_space_group_name_H-M_alt 'C 1 2/m 1'
_space_group_IT_number 12
loop_
_space_group_symop_operation_xyz
'x,y,z'
'-x,-y,-z'
'-x,y,-z'
'x,-y,z'
'x+1/2,y+1/2,z'
'-x+1/2,-y+1/2,-z'
'-x+1/2,y+1/2,-z'
'x+1/2,-y+1/2,z'
loop_
_atom_site_label
_atom_site_type_symbol
_atom_site_fract_x
_atom_site_fract_y
_atom_site_fract_z
Cs1 Cs 0.000 0.000 0.000
Cd1 Cd 0.000 0.000 0.500
Fe1 Fe 0.108 0.500 0.295
Br1 Br 0.024 0.252 0.702
Br2 Br 0.181 0.500 0.096
Br3 Br 0.250 0.000 0.508
```



4.
The following is a DFT calculation (GGA-PBE) of a relaxed SeBr8 crystal.

total magnetization: 0.62 μB/cell
raw formation energy: 0.167 eV per atom
crystal system: tetragonal

```
data_SeBr8
_chemical_formula_sum 'Se2 Br16'
_cell_length_a 8.660
_cell_length_b 8.660
_cell_length_c 8.514
_cell_angle_alpha 90.00
_cell_angle_beta 90.00
_cell_angle_gamma 90.00
_space_group_name_H-M_alt 'I 4/m m m'
_space_group_IT_number 139
_space_group_name_Hall '-I 4 2'
loop_
_atom_site_label
_atom_site_type_symbol
_atom_site_fract_x
_atom_site_fract_y
_atom_site_fract_z
Se1 Se 0.000 0.000 0.000
Br1 Br 0.000 0.304 0.000
Br2 Br 0.164 0.164 0.500
```



5.
The following is a DFT calculation (GGA-PBE) of a relaxed Tb5Mg2Ru2 crystal.

total magnetization: 0.00 μB/cell
crystal system: orthorhombic
calculated formation energy: -0.093 eV/atom

```
data_Tb5Mg2Ru2
_chemical_formula_sum 'Tb20 Mg8 Ru8'
_cell_length_a 16.461
_cell_length_b 8.634
_cell_length_c 6.608
_cell_angle_alpha 90.00
_cell_angle_beta 90.00
_cell_angle_gamma 90.00
_space_group_name_H-M_alt 'I m a 2'
_space_group_IT_number 46
loop_
_space_group_symop_operation_xyz
'x,y,z'
'-x,-y,z'
'-x+1/2,y,z'
'x+1/2,-y,z'
'x+1/2,y+1/2,z+1/2'
'-x+1/2,-y+1/2,z+1/2'
'-x,y+1/2,z+1/2'
'x,-y+1/2,z+1/2'
loop_
_atom_site_label
_atom_site_type_symbol
_atom_site_fract_x
_atom_site_fract_y
_atom_site_fract_z
Tb1 Tb 0.038 0.204 0.000
Tb2 Tb 0.153 0.604 0.712
Tb3 Tb 0.250 0.207 0.570
Mg1 Mg 0.106 0.539 0.187
Ru1 Ru 0.000 0.000 0.351
Ru2 Ru 0.250 0.000 0.893
```



6.
The following is a DFT calculation (GGA-PBE) of a relaxed AcTb6Nd4 crystal.

total magnetization: 0.00 μB/cell
polymorph energy (0 for the lowest one): 0.000 eV per atom
crystal system: tetragonal
calculated formation energy: 0.327 eV/atom

```
data_AcTb6Nd4
_chemical_formula_sum 'Ac2 Tb12 Nd8'
_cell_length_a 6.760
_cell_length_b 6.760
_cell_length_c 17.199
_cell_angle_alpha 90.00
_cell_angle_beta 90.00
_cell_angle_gamma 90.00
_space_group_name_H-M_alt 'I -4 2 m'
_space_group_IT_number 121
_space_group_name_Hall 'I -4 2'
loop_
_atom_site_label
_atom_site_type_symbol
_atom_site_fract_x
_atom_site_fract_y
_atom_site_fract_z
Ac1 Ac 0.000 0.000 0.000
Tb1 Tb 0.000 0.500 0.000
Tb2 Tb 0.178 0.178 0.624
Nd1 Nd 0.192 0.192 0.822
```



7.
The following is a DFT calculation (GGA-PBE) of a relaxed CsNpGeTe3 crystal.

total magnetization: 7.76 μB/cell
raw formation energy: -0.627 eV per atom
crystal system: monoclinic

```
data_CsNpGeTe3
_chemical_formula_sum 'Cs2 Np2 Ge2 Te6'
_cell_length_a 9.820
_cell_length_b 4.446
_cell_length_c 12.279
_cell_angle_alpha 90.00
_cell_angle_beta 112.42
_cell_angle_gamma 90.00
_space_group_name_H-M_alt 'P 1 21/m 1'
_space_group_IT_number 11
loop_
_space_group_symop_operation_xyz
'x,y,z'
'-x,-y,-z'
'-x,y+1/2,-z'
'x,-y+1/2,z'
loop_
_atom_site_label
_atom_site_type_symbol
_atom_site_fract_x
_atom_site_fract_y
_atom_site_fract_z
Cs1 Cs 0.235 0.250 0.282
Np1 Np 0.361 0.750 0.840
Ge1 Ge 0.122 0.250 0.558
Te1 Te 0.117 0.250 0.778
Te2 Te 0.314 0.750 0.575
Te3 Te 0.401 0.750 0.103
```



8.
The following is a DFT calculation (GGA-PBE) of a relaxed Ac6GeRh2 crystal.

total magnetization: 0.00 μB/cell
crystal system: monoclinic
calculated formation energy: -0.398 eV/atom

```
data_Ac6GeRh2
_chemical_formula_sum 'Ac12 Ge2 Rh4'
_cell_length_a 14.362
_cell_length_b 5.676
_cell_length_c 10.103
_cell_angle_alpha 90.00
_cell_angle_beta 123.17
_cell_angle_gamma 90.00
_space_group_name_H-M_alt 'C 1 2/m 1'
_space_group_IT_number 12
loop_
_space_group_symop_operation_xyz
'x,y,z'
'-x,-y,-z'
'-x,y,-z'
'x,-y,z'
'x+1/2,y+1/2,z'
'-x+1/2,-y+1/2,-z'
'-x+1/2,y+1/2,-z'
'x+1/2,-y+1/2,z'
loop_
_atom_site_label
_atom_site_type_symbol
_atom_site_fract_x
_atom_site_fract_y
_atom_site_fract_z
Ac1 Ac 0.023 0.000 0.203
Ac2 Ac 0.145 0.500 0.545
Ac3 Ac 0.222 0.500 0.125
Ge1 Ge 0.000 0.000 0.500
Rh1 Rh 0.187 0.000 0.104
```



9.
The following is a DFT calculation (GGA-PBE) of a relaxed ScNb2HPd crystal.

total magnetization: 0.00 μB/cell
uncorrected energy: -7.24 eV per atom
crystal system: tetragonal

```
data_ScNb2HPd
_chemical_formula_sum 'Sc1 Nb2 H1 Pd1'
_cell_length_a 3.976
_cell_length_b 3.976
_cell_length_c 4.786
_cell_angle_alpha 90.00
_cell_angle_beta 90.00
_cell_angle_gamma 90.00
_space_group_name_H-M_alt 'P 4/m m m'
_space_group_IT_number 123
_space_group_name_Hall '-P 4 2'
loop_
_atom_site_label
_atom_site_type_symbol
_atom_site_fract_x
_atom_site_fract_y
_atom_site_fract_z
Sc1 Sc 0.000 0.000 0.000
Nb1 Nb 0.000 0.500 0.500
H1 H 0.000 0.000 0.500
Pd1 Pd 0.500 0.500 0.000
```



10.
The following is a DFT calculation (GGA-PBE) of a relaxed Na2TeS3 crystal.

total magnetization: 0.00 μB/cell
raw formation energy: -0.629 eV per atom
crystal system: orthorhombic

```
data_Na2TeS3
_chemical_formula_sum 'Na4 Te2 S6'
_cell_length_a 3.908
_cell_length_b 12.422
_cell_length_c 5.796
_cell_angle_alpha 90.00
_cell_angle_beta 90.00
_cell_angle_gamma 90.00
_space_group_name_H-M_alt 'P m m n'
_space_group_IT_number 59
loop_
_space_group_symop_operation_xyz
'x,y,z'
'-x,-y,-z'
'-x+1/2,-y+1/2,z'
'x+1/2,y+1/2,-z'
'x+1/2,-y,-z'
'-x+1/2,y,z'
'-x,y+1/2,-z'
'x,-y+1/2,z'
loop_
_atom_site_label
_atom_site_type_symbol
_atom_site_fract_x
_atom_site_fract_y
_atom_site_fract_z
Na1 Na 0.250 0.082 0.242
Te1 Te 0.250 0.750 0.224
S1 S 0.250 0.100 0.742
S2 S 0.250 0.750 0.814
```



11.
The following is a DFT calculation (GGA-PBE) of a relaxed CsVP2 crystal.

total magnetization: 0.52 μB/cell
crystal system: tetragonal
calculated formation energy: -0.344 eV/atom

```
data_CsVP2
_chemical_formula_sum 'Cs4 V4 P8'
_cell_length_a 7.191
_cell_length_b 7.191
_cell_length_c 10.241
_cell_angle_alpha 90.00
_cell_angle_beta 90.00
_cell_angle_gamma 90.00
_space_group_name_H-M_alt 'I 41/a m d'
_space_group_IT_number 141
loop_
_space_group_symop_operation_xyz
'x,y,z'
'-x,-y,-z'
'-y+1/4,x+3/4,z+1/4'
'y+1/4,-x+3/4,-z+1/4'
'-x+1/2,-y,z+1/2'
'x+1/2,y,-z+1/2'
'y+1/4,-x+1/4,z+3/4'
'-y+1/4,x+1/4,-z+3/4'
'x,-y,-z'
'-x,y,z'
'-y+1/4,-x+1/4,-z+3/4'
'y+1/4,x+1/4,z+3/4'
'-x+1/2,y,-z+1/2'
'x+1/2,-y,z+1/2'
'y+1/4,x+3/4,-z+1/4'
'-y+1/4,-x+3/4,z+1/4'
'x+1/2,y+1/2,z+1/2'
'-x+1/2,-y+1/2,-z+1/2'
'-y+3/4,x+1/4,z+3/4'
'y+3/4,-x+1/4,-z+3/4'
'-x,-y+1/2,z'
'x,y+1/2,-z'
'y+3/4,-x+3/4,z+1/4'
'-y+3/4,x+3/4,-z+1/4'
'x+1/2,-y+1/2,-z+1/2'
'-x+1/2,y+1/2,z+1/2'
'-y+3/4,-x+3/4,-z+1/4'
'y+3/4,x+3/4,z+1/4'
'-x,y+1/2,-z'
'x,-y+1/2,z'
'y+3/4,x+1/4,-z+3/4'
'-y+3/4,-x+1/4,z+3/4'
loop_
_atom_site_label
_atom_site_type_symbol
_atom_site_fract_x
_atom_site_fract_y
_atom_site_fract_z
Cs1 Cs 0.000 0.250 0.375
V1 V 0.000 0.250 0.875
P1 P 0.000 0.000 0.000
```